(1)
This record from Alexandria via LeMat-Bulk describes an optimized crystal structure of Dy6N5. The functional is PBE.

```
Dy6N5
1.0
3.0246 -5.2304 0.0000
3.0246 5.2304 0.0000
-2.0349 0.0000 5.6948
Dy N
6 5
Direct
0.0676 0.4155 0.7467
0.2385 0.2385 0.2614
0.4155 0.0676 0.7467
0.5845 0.9324 0.2533
0.7615 0.7615 0.7386
0.9324 0.5845 0.2533
0.0000 0.0000 0.5000
0.1664 0.8336 0.0000
0.3306 0.6694 0.5000
0.6694 0.3306 0.5000
0.8336 0.1664 0.0000
```

The space-group type is C2/m (12). The crystal system is monoclinic. As for the formation energy (no corrections): -1556 meV/atom.

***

(2)
This record from Alexandria via LeMat-Bulk describes an optimized crystal structure of Dy3N2. The functional is PBE.

```
Dy3N2
1.0
2.9881 1.7252 5.7665
-2.9881 1.7252 5.7665
0.0000 -3.4504 5.7665
Dy N
6 4
Direct
0.0740 0.7500 0.4260
0.2500 0.5740 0.9260
0.4260 0.0740 0.7500
0.5740 0.9260 0.2500
0.7500 0.4260 0.0740
0.9260 0.2500 0.5740
0.1622 0.1622 0.1622
0.3378 0.3378 0.3378
0.6622 0.6622 0.6622
0.8378 0.8378 0.8378
```

The space-group type is R-3c (167). The crystal system is trigonal. As for the formation energy (no corrections): -1190 meV/atom.

***

(3)
This record from Alexandria via LeMat-Bulk describes an optimized crystal structure of DyN. The functional is PBE.

```
DyN
1.0
0.0000 2.4563 2.4563
2.4563 0.0000 2.4563
2.4563 2.4563 0.0000
Dy N
1 1
Direct
0.0000 0.0000 0.0000
0.5000 0.5000 0.5000
```

The space-group type is Fm-3m (225). The crystal system is cubic. As for the formation energy (no corrections): -1705 meV/atom.

***

(4)
This record from Alexandria via LeMat-Bulk describes an optimized crystal structure of Dy5N. The functional is PBE.

```
Dy5N
1.0
1.6503 -8.8711 0.0000
1.6503 8.8711 0.0000
0.0000 0.0000 6.1925
Dy N
5 1
Direct
0.0000 0.0000 0.0000
0.0919 0.9081 0.5000
0.3328 0.6672 0.0000
0.6672 0.3328 0.0000
0.9081 0.0919 0.5000
0.5000 0.5000 0.5000
```

The space-group type is Cmmm (65). The crystal system is orthorhombic. As for the formation energy (no corrections): 0 meV/atom.

***

(5)
This record from Alexandria via LeMat-Bulk describes an optimized crystal structure of Dy3N. The functional is PBE.

```
Dy3N
1.0
3.1887 0.0000 0.0000
0.0000 3.3219 0.0000
0.0000 0.0000 8.9836
Dy N
3 1
Direct
0.0000 0.0000 0.0000
0.0000 0.5000 0.3074
0.5000 0.5000 0.6866
0.5000 0.0000 0.2129
```

The value obtained for the energy above the most stable polymorph in this dataset is 21.2 meV per atom. The space-group type is Pmm2 (25). The crystal system is orthorhombic. As for the formation energy (no corrections): -453 meV/atom.

***

(6)
This record from Alexandria via LeMat-Bulk describes an optimized crystal structure of Dy3N2. The functional is PBE.

```
Dy3N2
1.0
1.7433 1.0065 8.8303
-1.7433 1.0065 8.8303
0.0000 -2.0130 8.8303
Dy N
3 2
Direct
0.0000 0.0000 0.0000
0.2306 0.2306 0.2306
0.7694 0.7694 0.7694
0.3891 0.3891 0.3891
0.6109 0.6109 0.6109
```

The space-group type is R-3m (166). The crystal system is trigonal. As for the formation energy (no corrections): -1326 meV/atom.